A geometry-optimized LaTcRu2 structure. Source: the Alexandria database, functional GGA-PBE.

Properties
final energy = -8.04 eV/atom
formation enthalpy at 0 K = 0.421 eV per atom

Cell: 4.6585 4.6585 4.6585 Å, 60.00 60.00 60.00°
Positions (direct):
1 La 0.0000 0.0000 0.0000
2 Tc 0.5000 0.5000 0.5000
3 Ru 0.2500 0.2500 0.2500
4 Ru 0.7500 0.7500 0.7500

---

A geometry-optimized Cs3NaCu2Cl9 structure. Source: the Alexandria database, functional GGA-PBE.

Properties
formation energy from raw total energies = -1221 meV per atom
final energy = -3.13 eV/atom

Cell: 7.2256 7.2256 8.9394 Å, 90.00 90.00 120.00°
Positions (direct):
1 Cs 0.0000 0.0000 0.0000
2 Cs 0.3333 0.6667 0.6606
3 Cs 0.6667 0.3333 0.3394
4 Na 0.0000 0.0000 0.5000
5 Cu 0.3333 0.6667 0.1593
6 Cu 0.6667 0.3333 0.8407
7 Cl 0.0000 0.5000 0.0000
8 Cl 0.1771 0.3541 0.3080
9 Cl 0.1771 0.8229 0.3080
10 Cl 0.3541 0.1771 0.6920
11 Cl 0.5000 0.0000 0.0000
12 Cl 0.5000 0.5000 0.0000
13 Cl 0.6459 0.8229 0.3080
14 Cl 0.8229 0.1771 0.6920
15 Cl 0.8229 0.6459 0.6920

---

What did the first record say?
A geometry-optimized LaTcRu2 structure. Source: the Alexandria database, functional GGA-PBE.

Properties
final energy = -8.04 eV/atom
formation enthalpy at 0 K = 0.421 eV per atom

Cell: 4.6585 4.6585 4.6585 Å, 60.00 60.00 60.00°
Positions (direct):
1 La 0.0000 0.0000 0.0000
2 Tc 0.5000 0.5000 0.5000
3 Ru 0.2500 0.2500 0.2500
4 Ru 0.7500 0.7500 0.7500